Density functional theory data (PBE) for RbZnFeS3 after structural relaxation.

Properties
* E_tot: -4.41 eV/atom
* M_tot: 4.12 μB/f.u.

Cell: 7.6572 7.6572 9.9055 Å, 90.00 90.00 152.17°
With the nearest neighbours (Å) after each atom.
Positions (direct):
Rb  0.2551  0.7449  0.2500  8 S 3.30-3.57, 2 Rb 3.68
Rb  0.7449  0.2551  0.7500  8 S 3.30-3.57, 2 Rb 3.68
Zn  0.5339  0.4661  0.2500  4 S 2.31-2.32
Zn  0.4661  0.5339  0.7500  4 S 2.31-2.32
S  0.3925  0.6075  0.5450  1 Zn 2.31, 2 Fe 2.48
S  0.3925  0.6075  0.9550  1 Zn 2.31, 2 Fe 2.48
S  0.9392  0.0608  0.2500  2 Zn 2.32
S  0.0608  0.9392  0.7500  2 Zn 2.32
S  0.6075  0.3925  0.0450  1 Zn 2.31, 2 Fe 2.48
S  0.6075  0.3925  0.4550  1 Zn 2.31, 2 Fe 2.48
Fe  0.0000  0.0000  0.0000  6 S 2.48-2.64
Fe  0.0000  0.0000  0.5000  6 S 2.48-2.64